Ni2SnF: relaxed, PBE with a Hubbard U.

D(E_F), states/eV/atom: 0.31
Total magnetic moment, μB/atom: 0.0000
Excess energy over the best structure of this formula in the dataset, kJ per mole of atoms: 44.8

Cell and atoms, written as CIF:
```
data_Ni2SnF
_chemical_formula_sum 'Ni8 Sn4 F4'
_symmetry_space_group_name_H-M 'F m -3 m'
_symmetry_Int_Tables_number 225
_symmetry_space_group_name_Hall '-F 4 2 3'
_cell_length_a 5.956
_cell_length_b 5.956
_cell_length_c 5.956
_cell_angle_alpha 90.00
_cell_angle_beta 90.00
_cell_angle_gamma 90.00
loop_
_atom_site_label
_atom_site_type_symbol
_atom_site_fract_x
_atom_site_fract_y
_atom_site_fract_z
Ni1 Ni 0.250 0.250 0.250
Sn1 Sn 0.000 0.000 0.000
F1 F 0.000 0.000 0.500
```